Entry 1:
First-principles (PBE-GGA) data for an optimized crystal structure of TmTh2Pt, as listed in the Alexandria database.

The value obtained for the energy is -6.4639 eV/atom. The formation energy comes out at -0.1259 eV/atom.

The structure belongs to space group R-3m (No. 166, hexagonal axes); the cell edges are 3.7059, 3.7059 and 31.6541 Å and the angles 90.00°, 90.00° and 120.00°. Symmetry generates all atoms from Tm at (0.0000, 0.0000, 0.0000), Th at (0.0000, 0.0000, 0.1043) and Pt at (0.0000, 0.0000, 0.5000).



Entry 2:
First-principles (PBE-GGA) data for an optimized crystal structure of SrSc2W, as listed in the Alexandria database.

The value obtained for the energy is -6.1412 eV/atom. The formation energy comes out at 0.6833 eV/atom. As for the energy above the most stable polymorph in this dataset: 0.320 eV per atom.

The structure belongs to space group Fm-3m (No. 225); the cell edges are 7.174, 7.174 and 7.174 Å and the angles 90.00°, 90.00° and 90.00°. Symmetry generates all atoms from Sr at (0.000, 0.000, 0.000), Sc at (0.250, 0.250, 0.250) and W at (0.000, 0.000, 0.500).



Entry 3:
First-principles (PBE-GGA) data for an optimized crystal structure of NdDyIn3, as listed in the Alexandria database.

The value obtained for the energy is -3.7552 eV/atom. The formation energy comes out at -0.2381 eV/atom.

The structure belongs to space group P6_3/mmc (No. 194); the cell edges are 7.2999, 7.2999 and 6.5202 Å and the angles 90.00°, 90.00° and 120.00°. Symmetry generates all atoms from Nd at (0.3333, 0.6667, 0.2500), Dy at (0.0000, 0.0000, 0.0000) and In at (0.2021, 0.4042, 0.7500).



Entry 4:
First-principles (PBE-GGA) data for an optimized crystal structure of Zr4PdPt, as listed in the Alexandria database.

The value obtained for the energy is -8.1868 eV/atom. The formation energy comes out at -0.6158 eV/atom. As for the energy above the most stable polymorph in this dataset: 0.000 eV per atom.

The structure belongs to space group P4/mcc (No. 124); the cell edges are 6.713, 6.713 and 5.450 Å and the angles 90.00°, 90.00° and 90.00°. Symmetry generates all atoms from Zr at (0.157, 0.340, 0.000), Pd at (0.500, 0.500, 0.250) and Pt at (0.000, 0.000, 0.250).



Entry 5:
First-principles (PBE-GGA) data for an optimized crystal structure of Fe3Mo3C, as listed in the Alexandria database.

The value obtained for the energy is -9.6330 eV/atom. The formation energy comes out at -0.0465 eV/atom.

The structure belongs to space group Fd-3m (No. 227, origin choice 2); the cell edges are 11.052, 11.052 and 11.052 Å and the angles 90.00°, 90.00° and 90.00°. Symmetry generates all atoms from Fe at (0.000, 0.000, 0.000), Fe at (0.048, 0.048, 0.202), Mo at (0.078, 0.375, 0.875) and C at (0.000, 0.000, 0.500).



Entry 6:
First-principles (PBE-GGA) data for an optimized crystal structure of MgCuGe2, as listed in the Alexandria database.

The value obtained for the energy is -3.6483 eV/atom. The formation energy comes out at 0.0830 eV/atom.

The structure belongs to space group I-42d (No. 122); the cell edges are 4.276, 4.276 and 16.731 Å and the angles 90.00°, 90.00° and 90.00°. Symmetry generates all atoms from Mg at (0.000, 0.000, 0.000), Cu at (0.000, 0.000, 0.500) and Ge at (0.189, 0.250, 0.625).



Entry 7:
First-principles (PBE-GGA) data for an optimized crystal structure of ZrCoAu3, as listed in the Alexandria database.

The value obtained for the energy is -3.8961 eV/atom. The formation energy comes out at 1.2012 eV/atom. As for the energy above the most stable polymorph in this dataset: 0.595 eV per atom.

The structure belongs to space group Pm-3m (No. 221); the cell edges are 5.207, 5.207 and 5.207 Å and the angles 90.00°, 90.00° and 90.00°. Symmetry generates all atoms from Zr at (0.000, 0.000, 0.000), Co at (0.500, 0.500, 0.500) and Au at (0.000, 0.000, 0.500).



Entry 8:
First-principles (PBE-GGA) data for an optimized crystal structure of HfBe2Os2, as listed in the Alexandria database.

The value obtained for the energy is -7.9925 eV/atom. The formation energy comes out at -0.0194 eV/atom. As for the energy above the most stable polymorph in this dataset: 0.370 eV per atom.

The structure belongs to space group I4/mmm (No. 139); the cell edges are 3.936, 3.936 and 9.135 Å and the angles 90.00°, 90.00° and 90.00°. Symmetry generates all atoms from Hf at (0.000, 0.000, 0.000), Be at (0.000, 0.500, 0.250) and Os at (0.000, 0.000, 0.370).



Entry 9:
First-principles (PBE-GGA) data for an optimized crystal structure of TlSi2Au, as listed in the Alexandria database.

The value obtained for the energy is -3.7783 eV/atom. As for the energy above the most stable polymorph in this dataset: 0.174 eV per atom. As for the uncorrected formation energy: 7.935 kcal/mol of atoms.

The structure belongs to space group I-42d (No. 122); the cell edges are 4.490, 4.490 and 17.685 Å and the angles 90.00°, 90.00° and 90.00°. Symmetry generates all atoms from Tl at (0.000, 0.000, 0.000), Si at (0.135, 0.250, 0.625) and Au at (0.000, 0.000, 0.500).



Entry 10:
First-principles (PBE-GGA) data for an optimized crystal structure of Ba2Ge2O, as listed in the Alexandria database.

The value obtained for the energy is -4.7311 eV/atom. As for the uncorrected formation energy: -25.907 kcal/mol of atoms.

The structure belongs to space group I4_1/amd (No. 141, origin choice 2); the cell edges are 4.119, 4.119 and 33.754 Å and the angles 90.00°, 90.00° and 90.00°. Symmetry generates all atoms from Ba at (0.000, 0.250, 0.077), Ge at (0.000, 0.250, 0.229) and O at (0.000, 0.250, 0.875).



Entry 11:
First-principles (PBE-GGA) data for an optimized crystal structure of BaPmDy, as listed in the Alexandria database.

The value obtained for the energy is -3.5928 eV/atom. The formation energy comes out at 0.1656 eV/atom. As for the energy above the most stable polymorph in this dataset: 0.000 eV per atom.

The structure belongs to space group I4mm (No. 107); the cell edges are 3.802, 3.802 and 16.586 Å and the angles 90.00°, 90.00° and 90.00°. Symmetry generates all atoms from Ba at (0.000, 0.000, 0.000), Pm at (0.000, 0.000, 0.317) and Dy at (0.000, 0.000, 0.681).